The following is a meta-GGA SCAN calculation of a crystal of Ca3SbAu relaxed with PBEsol, from Alexandria.

Values from the calculation:
**Formation energy (no corrections)**: -0.2668 eV/atom
**Spin magnetization**: 1.3 μB per cell
**Fermi-level density of states**: 0.583 states/eV/atom

a = 5.7545 Å, b = 5.7545 Å, c = 5.7545 Å
α = 90.00°, β = 90.00°, γ = 90.00°
Sites, in units of the cell vectors:
Ca: 0.0000 0.0000 0.5000
Ca: 0.0000 0.5000 0.0000
Ca: 0.5000 0.0000 0.0000
Sb: 0.0000 0.0000 0.0000
Au: 0.5000 0.5000 0.5000

---

The following is a meta-GGA SCAN calculation of a crystal of Ca2SbAu2 relaxed with PBEsol, from Alexandria.

Values from the calculation:
**Formation energy (no corrections)**: -0.9208 eV/atom
**Spin magnetization**: 0.0 μB per cell
**Fermi-level density of states**: 0.419 states/eV/atom

a = 7.9474 Å, b = 7.9474 Å, c = 3.7175 Å
α = 90.00°, β = 90.00°, γ = 90.00°
Sites, in units of the cell vectors:
Ca: 0.1744 0.3256 0.0000
Ca: 0.3256 0.8256 0.0000
Ca: 0.6744 0.1744 0.0000
Ca: 0.8256 0.6744 0.0000
Sb: 0.0000 0.0000 0.5000
Sb: 0.5000 0.5000 0.5000
Au: 0.1223 0.6223 0.5000
Au: 0.3777 0.1223 0.5000
Au: 0.6223 0.8777 0.5000
Au: 0.8777 0.3777 0.5000

---

The following is a meta-GGA SCAN calculation of a crystal of CaTiSb2Au relaxed with PBEsol, from Alexandria.

Values from the calculation:
**Formation energy (no corrections)**: 0.0873 eV/atom
**Spin magnetization**: 2.3 μB per cell
**Fermi-level density of states**: 0.708 states/eV/atom

a = 5.4003 Å, b = 5.4003 Å, c = 4.9731 Å
α = 90.00°, β = 90.00°, γ = 90.00°
Sites, in units of the cell vectors:
Ca: 0.0000 0.0000 0.0000
Ti: 0.5000 0.5000 0.0000
Sb: 0.0000 0.5000 0.5000
Sb: 0.5000 0.0000 0.5000
Au: 0.5000 0.5000 0.5000

---

The following is a meta-GGA SCAN calculation of a crystal of CaScAu2 relaxed with PBEsol, from Alexandria.

Values from the calculation:
**ΔE_f**: -0.808 eV per atom
**Spin magnetization**: 0.0 μB per cell
**Fermi-level density of states**: 0.345 states/eV/atom

a = 3.8709 Å, b = 3.8709 Å, c = 5.9151 Å
α = 90.00°, β = 90.00°, γ = 90.00°
Sites, in units of the cell vectors:
Ca: 0.0000 0.0000 0.0000
Sc: 0.5000 0.5000 0.3835
Au: 0.0000 0.0000 0.4992
Au: 0.5000 0.5000 0.8545

---

The following is a meta-GGA SCAN calculation of a crystal of CaScAu2 relaxed with PBEsol, from Alexandria.

Values from the calculation:
**ΔE_f**: -0.861 eV per atom
**Spin magnetization**: 0.0 μB per cell
**Fermi-level density of states**: 0.344 states/eV/atom

a = 7.0079 Å, b = 7.0079 Å, c = 7.0079 Å
α = 33.62°, β = 33.62°, γ = 33.62°
Sites, in units of the cell vectors:
Ca: 0.0000 0.0000 0.0000
Sc: 0.5000 0.5000 0.5000
Au: 0.2378 0.2378 0.2378
Au: 0.7622 0.7622 0.7622

---

The following is a meta-GGA SCAN calculation of a crystal of CaScAu2 relaxed with PBEsol, from Alexandria.

Values from the calculation:
**ΔE_f**: -0.963 eV per atom
**Spin magnetization**: 0.0 μB per cell
**Fermi-level density of states**: 0.607 states/eV/atom

a = 4.9143 Å, b = 4.9143 Å, c = 3.3689 Å
α = 90.00°, β = 90.00°, γ = 90.00°
Sites, in units of the cell vectors:
Ca: 0.0000 0.0000 0.0000
Sc: 0.5000 0.5000 0.0000
Au: 0.0000 0.5000 0.5000
Au: 0.5000 0.0000 0.5000

---

The following is a meta-GGA SCAN calculation of a crystal of CaScAu2 relaxed with PBEsol, from Alexandria.

Values from the calculation:
**ΔE_f**: -0.944 eV per atom
**Spin magnetization**: 0.0 μB per cell
**Fermi-level density of states**: 0.549 states/eV/atom

a = 4.6195 Å, b = 5.5684 Å, c = 5.5684 Å
α = 36.58°, β = 90.00°, γ = 90.00°
Sites, in units of the cell vectors:
Ca: 0.0000 0.0000 0.0000
Sc: 0.5000 0.2786 0.2786
Au: 0.0000 0.7312 0.7312
Au: 0.5000 0.5598 0.5598

---

The following is a meta-GGA SCAN calculation of a crystal of Ca2AuSe2 relaxed with PBEsol, from Alexandria.

Values from the calculation:
**Formation energy (no corrections)**: -1.3710 eV/atom
**Spin magnetization**: 0.0 μB per cell
**Fermi-level density of states**: 0.354 states/eV/atom

a = 7.7948 Å, b = 7.7948 Å, c = 3.7581 Å
α = 90.00°, β = 90.00°, γ = 90.00°
Sites, in units of the cell vectors:
Ca: 0.1552 0.3448 0.0000
Ca: 0.3448 0.8448 0.0000
Ca: 0.6552 0.1552 0.0000
Ca: 0.8448 0.6552 0.0000
Au: 0.0000 0.0000 0.5000
Au: 0.5000 0.5000 0.5000
Se: 0.1555 0.6555 0.5000
Se: 0.3445 0.1555 0.5000
Se: 0.6555 0.8445 0.5000
Se: 0.8445 0.3445 0.5000

---

- Number 3 is which compound?
  CaTiSb2Au

---

- What is the spin magnetization in the third record?
  2.3 μB per cell

---

Please write out number 2 again, unchanged.
The following is a meta-GGA SCAN calculation of a crystal of Ca2SbAu2 relaxed with PBEsol, from Alexandria.

Values from the calculation:
**Formation energy (no corrections)**: -0.9208 eV/atom
**Spin magnetization**: 0.0 μB per cell
**Fermi-level density of states**: 0.419 states/eV/atom

a = 7.9474 Å, b = 7.9474 Å, c = 3.7175 Å
α = 90.00°, β = 90.00°, γ = 90.00°
Sites, in units of the cell vectors:
Ca: 0.1744 0.3256 0.0000
Ca: 0.3256 0.8256 0.0000
Ca: 0.6744 0.1744 0.0000
Ca: 0.8256 0.6744 0.0000
Sb: 0.0000 0.0000 0.5000
Sb: 0.5000 0.5000 0.5000
Au: 0.1223 0.6223 0.5000
Au: 0.3777 0.1223 0.5000
Au: 0.6223 0.8777 0.5000
Au: 0.8777 0.3777 0.5000

---

- Look up the Fermi-level density of states of the seventh one.
  0.549 states/eV/atom